# K2U3FeO12

A relaxed K2U3FeO12 crystal (PBE+U, the Alexandria database).

The space group is R-3m (No. 166, hexagonal axes) and the conventional cell measures 7.8540, 7.8540 and 17.5913 Å, with angles of 90.00, 90.00 and 120.00 degrees. The distinct sites, in fractional coordinates, are K at (0.0000, 0.0000, 0.1371), U at (0.0000, 0.5000, 0.0000), Fe at (0.0000, 0.0000, 0.5000), O at (0.0777, 0.5389, 0.3662) and O at (0.1021, 0.5510, 0.1064).

Its total energy is -8.098 eV per atom.